A plane-wave DFT calculation with GGA-PBEsol was carried out for a geometry-optimized AgPb2Au2 structure.

## Properties
Density of states at the Fermi level   4.099 states/eV/cell
DFT formation energy   0.02 eV per atom
Spin magnetization   0.0000 μB per atom
DFT total energy   -3.812 eV/atom

CIF file:
```
data_AgPb2Au2
_cell_length_a 7.3801
_cell_length_b 7.3801
_cell_length_c 4.0902
_cell_angle_alpha 90.00
_cell_angle_beta 90.00
_cell_angle_gamma 90.00
_symmetry_space_group_name_H-M 'P 4/m b m'
_symmetry_Int_Tables_number 127
_symmetry_space_group_name_Hall '-P 4 2ab'
loop_
_atom_site_label
_atom_site_fract_x
_atom_site_fract_y
_atom_site_fract_z
_atom_site_occupancy
Ag1 0.0000 0.0000 0.0000 1
Pb1 0.1692 0.3308 0.5000 1
Au1 0.1371 0.6371 0.0000 1
```